(1)
# HgSb2Os | the Alexandria database | PBE-GGA | relaxed
data_HgSb2Os
_space_group_name_H-M_alt 'P 1'
_space_group_IT_number 1
_space_group_name_Hall 'P 1'
_cell_length_a 10.289
_cell_length_b 3.197
_cell_length_c 6.399
_cell_angle_alpha 90.00
_cell_angle_beta 111.85
_cell_angle_gamma 90.00
loop_
_atom_site_label
_atom_site_fract_x
_atom_site_fract_y
_atom_site_fract_z
Hg1 0.000 0.000 0.000
Hg2 0.500 0.500 0.000
Sb1 0.156 0.000 0.632
Sb2 0.345 0.000 0.354
Sb3 0.656 0.500 0.632
Sb4 0.845 0.500 0.354
Os1 0.233 0.500 0.994
Os2 0.733 0.000 0.994
# density	10.8	Mg/m³
# formation energy from raw total energies	139	kJ/mol of formula units
# N(E_F)	3.41	states/eV/f.u.



(2)
# HgSb12Os4 | the Alexandria database | PBE-GGA | relaxed
data_HgSb12Os4
_space_group_name_H-M_alt 'P 1'
_space_group_IT_number 1
_space_group_name_Hall 'P 1'
_cell_length_a 8.197
_cell_length_b 8.197
_cell_length_c 8.197
_cell_angle_alpha 109.47
_cell_angle_beta 109.47
_cell_angle_gamma 109.47
loop_
_atom_site_label
_atom_site_fract_x
_atom_site_fract_y
_atom_site_fract_z
Hg1 0.000 0.000 0.000
Sb1 0.155 0.332 0.487
Sb2 0.155 0.668 0.822
Sb3 0.178 0.845 0.332
Sb4 0.332 0.178 0.845
Sb5 0.332 0.487 0.155
Sb6 0.487 0.155 0.332
Sb7 0.513 0.845 0.668
Sb8 0.668 0.513 0.845
Sb9 0.668 0.822 0.155
Sb10 0.822 0.155 0.668
Sb11 0.845 0.332 0.178
Sb12 0.845 0.668 0.513
Os1 0.000 0.000 0.500
Os2 0.000 0.500 0.000
Os3 0.500 0.000 0.000
Os4 0.500 0.500 0.500
# density	9.5	Mg/m³
# formation energy from raw total energies	82	kJ/mol of formula units
# N(E_F)	17.30	states/eV/f.u.



(3)
# HgSb2Os | the Alexandria database | PBE-GGA | relaxed
data_HgSb2Os
_space_group_name_H-M_alt 'P 1'
_space_group_IT_number 1
_space_group_name_Hall 'P 1'
_cell_length_a 4.450
_cell_length_b 4.239
_cell_length_c 6.282
_cell_angle_alpha 90.00
_cell_angle_beta 90.15
_cell_angle_gamma 90.00
loop_
_atom_site_label
_atom_site_fract_x
_atom_site_fract_y
_atom_site_fract_z
Hg1 0.000 0.000 0.000
Sb1 0.499 0.500 0.886
Sb2 0.998 0.000 0.448
Os1 0.998 0.500 0.671
# density	8.9	Mg/m³
# formation energy from raw total energies	185	kJ/mol of formula units
# N(E_F)	2.55	states/eV/f.u.



(4)
# HgSbOs4 | the Alexandria database | PBE-GGA | relaxed
data_HgSbOs4
_space_group_name_H-M_alt 'P 1'
_space_group_IT_number 1
_space_group_name_Hall 'P 1'
_cell_length_a 5.317
_cell_length_b 5.317
_cell_length_c 5.317
_cell_angle_alpha 60.00
_cell_angle_beta 60.00
_cell_angle_gamma 60.00
loop_
_atom_site_label
_atom_site_fract_x
_atom_site_fract_y
_atom_site_fract_z
Hg1 0.000 0.000 0.000
Sb1 0.250 0.250 0.250
Os1 0.125 0.625 0.625
Os2 0.625 0.125 0.625
Os3 0.625 0.625 0.125
Os4 0.625 0.625 0.625
# density	16.9	Mg/m³
# formation energy from raw total energies	561	kJ/mol of formula units
# N(E_F)	9.18	states/eV/f.u.



(5)
# HgSb2Os | the Alexandria database | PBE-GGA | relaxed
data_HgSb2Os
_space_group_name_H-M_alt 'P 1'
_space_group_IT_number 1
_space_group_name_Hall 'P 1'
_cell_length_a 6.063
_cell_length_b 8.046
_cell_length_c 3.493
_cell_angle_alpha 90.00
_cell_angle_beta 90.14
_cell_angle_gamma 90.00
loop_
_atom_site_label
_atom_site_fract_x
_atom_site_fract_y
_atom_site_fract_z
Hg1 0.000 0.000 0.000
Hg2 0.500 0.500 0.000
Sb1 0.250 0.250 0.500
Sb2 0.250 0.750 0.500
Sb3 0.750 0.250 0.500
Sb4 0.750 0.750 0.500
Os1 0.000 0.500 0.000
Os2 0.500 0.000 0.000
# density	12.4	Mg/m³
# formation energy from raw total energies	290	kJ/mol of formula units
# N(E_F)	4.25	states/eV/f.u.



(6)
# HgSb2Os | the Alexandria database | PBE-GGA | relaxed
data_HgSb2Os
_space_group_name_H-M_alt 'P 1'
_space_group_IT_number 1
_space_group_name_Hall 'P 1'
_cell_length_a 3.149
_cell_length_b 4.782
_cell_length_c 12.435
_cell_angle_alpha 90.00
_cell_angle_beta 90.00
_cell_angle_gamma 90.00
loop_
_atom_site_label
_atom_site_fract_x
_atom_site_fract_y
_atom_site_fract_z
Hg1 0.000 0.000 0.000
Hg2 0.500 0.500 0.500
Sb1 0.000 0.500 0.179
Sb2 0.000 0.500 0.821
Sb3 0.500 0.000 0.321
Sb4 0.500 0.000 0.679
Os1 0.000 0.000 0.500
Os2 0.500 0.500 0.000
# density	11.3	Mg/m³
# formation energy from raw total energies	137	kJ/mol of formula units
# N(E_F)	2.08	states/eV/f.u.



(7)
# HgSb2Os | the Alexandria database | PBE-GGA | relaxed
data_HgSb2Os
_space_group_name_H-M_alt 'P 1'
_space_group_IT_number 1
_space_group_name_Hall 'P 1'
_cell_length_a 3.229
_cell_length_b 5.384
_cell_length_c 11.126
_cell_angle_alpha 90.00
_cell_angle_beta 90.00
_cell_angle_gamma 90.00
loop_
_atom_site_label
_atom_site_fract_x
_atom_site_fract_y
_atom_site_fract_z
Hg1 0.000 0.000 0.000
Hg2 0.500 0.500 0.000
Sb1 0.000 0.500 0.304
Sb2 0.000 0.500 0.696
Sb3 0.500 0.000 0.304
Sb4 0.500 0.000 0.696
Os1 0.000 0.000 0.500
Os2 0.500 0.500 0.500
# density	10.9	Mg/m³
# formation energy from raw total energies	173	kJ/mol of formula units
# N(E_F)	2.56	states/eV/f.u.



(8)
# HgSb2TeOs | the Alexandria database | PBE-GGA | relaxed
data_HgSb2TeOs
_space_group_name_H-M_alt 'P 1'
_space_group_IT_number 1
_space_group_name_Hall 'P 1'
_cell_length_a 5.029
_cell_length_b 5.029
_cell_length_c 5.856
_cell_angle_alpha 90.00
_cell_angle_beta 90.00
_cell_angle_gamma 90.00
loop_
_atom_site_label
_atom_site_fract_x
_atom_site_fract_y
_atom_site_fract_z
Hg1 0.000 0.000 0.000
Sb1 0.000 0.500 0.500
Sb2 0.500 0.000 0.500
Te1 0.500 0.500 0.000
Os1 0.500 0.500 0.500
# density	8.5	Mg/m³
# formation energy from raw total energies	275	kJ/mol of formula units
# N(E_F)	3.25	states/eV/f.u.



(9)
# HgSb2TeOs | the Alexandria database | PBE-GGA | relaxed
data_HgSb2TeOs
_space_group_name_H-M_alt 'P 1'
_space_group_IT_number 1
_space_group_name_Hall 'P 1'
_cell_length_a 5.449
_cell_length_b 5.449
_cell_length_c 5.454
_cell_angle_alpha 90.00
_cell_angle_beta 90.00
_cell_angle_gamma 90.00
loop_
_atom_site_label
_atom_site_fract_x
_atom_site_fract_y
_atom_site_fract_z
Hg1 0.000 0.000 0.000
Sb1 0.000 0.500 0.000
Sb2 0.500 0.000 0.000
Te1 0.000 0.000 0.500
Os1 0.500 0.500 0.500
# density	7.8	Mg/m³
# formation energy from raw total energies	908	kJ/mol of formula units
# N(E_F)	6.79	states/eV/f.u.



(10)
# ZnHg2SbOs | the Alexandria database | PBE-GGA | relaxed
data_ZnHg2SbOs
_space_group_name_H-M_alt 'P 1'
_space_group_IT_number 1
_space_group_name_Hall 'P 1'
_cell_length_a 5.827
_cell_length_b 5.827
_cell_length_c 5.003
_cell_angle_alpha 90.00
_cell_angle_beta 90.00
_cell_angle_gamma 90.00
loop_
_atom_site_label
_atom_site_fract_x
_atom_site_fract_y
_atom_site_fract_z
Zn1 0.000 0.000 0.000
Hg1 0.000 0.500 0.500
Hg2 0.500 0.000 0.500
Sb1 0.500 0.500 0.500
Os1 0.500 0.500 0.000
# density	7.6	Mg/m³
# formation energy from raw total energies	573	kJ/mol of formula units
# N(E_F)	4.08	states/eV/f.u.



(11)
# Sc2HgOs | the Alexandria database | PBE-GGA | relaxed
data_Sc2HgOs
_space_group_name_H-M_alt 'P 1'
_space_group_IT_number 1
_space_group_name_Hall 'P 1'
_cell_length_a 7.565
_cell_length_b 7.565
_cell_length_c 5.833
_cell_angle_alpha 90.00
_cell_angle_beta 90.00
_cell_angle_gamma 90.00
loop_
_atom_site_label
_atom_site_fract_x
_atom_site_fract_y
_atom_site_fract_z
Sc1 0.207 0.750 0.125
Sc2 0.250 0.207 0.875
Sc3 0.250 0.293 0.375
Sc4 0.293 0.750 0.625
Sc5 0.707 0.250 0.625
Sc6 0.750 0.707 0.375
Sc7 0.750 0.793 0.875
Sc8 0.793 0.250 0.125
Hg1 0.000 0.000 0.500
Hg2 0.000 0.500 0.750
Hg3 0.500 0.000 0.250
Hg4 0.500 0.500 0.000
Os1 0.000 0.000 0.000
Os2 0.000 0.500 0.250
Os3 0.500 0.000 0.750
Os4 0.500 0.500 0.500
# density	9.6	Mg/m³
# formation energy from the elements	0.07	eV/atom
# N(E_F)	1.11	states/eV/f.u.



(12)
# ScHgOs2 | the Alexandria database | PBE-GGA | relaxed
data_ScHgOs2
_space_group_name_H-M_alt 'P 1'
_space_group_IT_number 1
_space_group_name_Hall 'P 1'
_cell_length_a 6.487
_cell_length_b 6.487
_cell_length_c 6.487
_cell_angle_alpha 90.00
_cell_angle_beta 90.00
_cell_angle_gamma 90.00
loop_
_atom_site_label
_atom_site_fract_x
_atom_site_fract_y
_atom_site_fract_z
Sc1 0.000 0.000 0.000
Sc2 0.000 0.500 0.500
Sc3 0.500 0.000 0.500
Sc4 0.500 0.500 0.000
Hg1 0.250 0.250 0.250
Hg2 0.250 0.750 0.750
Hg3 0.750 0.250 0.750
Hg4 0.750 0.750 0.250
Os1 0.000 0.000 0.500
Os2 0.000 0.500 0.000
Os3 0.250 0.250 0.750
Os4 0.250 0.750 0.250
Os5 0.500 0.000 0.000
Os6 0.500 0.500 0.500
Os7 0.750 0.250 0.250
Os8 0.750 0.750 0.750
# density	15.2	Mg/m³
# formation energy from the elements	0.41	eV/atom
# N(E_F)	6.25	states/eV/f.u.



- N(E_F) of number 7 (HgSb2Os)?
  2.56 states/eV/f.u.